Y2PIrRu, relaxed, DFT PBE; symmetry = P4/mmm (123); energy relative to the elements = 250 meV/atom
1.0
-5.058 -0.310 1.532
0.296 -4.571 0.052
1.526 0.157 5.067
Y Ru Ir P
2 1 1 1
Direct
0.000 0.000 0.500
0.500 0.000 0.000
0.000 0.000 0.000
0.000 0.500 0.000
0.500 0.500 0.500

Zn2PIrRu, relaxed, DFT PBE; symmetry = P4/mmm (123); energy relative to the elements = 1163 meV/atom
1.0
-0.838 3.227 -3.265
-4.575 -0.965 0.221
-0.521 3.230 3.327
Ru Zn Ir P
1 2 1 1
Direct
0.000 0.000 0.000
0.000 0.000 0.500
0.500 0.000 0.000
0.000 0.500 0.000
0.500 0.500 0.500

PIrS, relaxed, DFT PBE; raw formation energy = -169.1 meV per atom; symmetry = P1 (1)
1.0
-1.744 2.441 -0.551
-1.852 -2.938 1.329
0.926 1.605 4.128
P Ir S
1 1 1
Direct
0.700 0.164 0.920
0.414 0.593 0.184
0.133 0.039 0.509

PIrS, relaxed, DFT PBE; raw formation energy = -131.8 meV per atom; symmetry = F-43m (216)
1.0
-5.562 -1.052 1.213
1.564 -2.554 4.954
-0.365 5.088 2.738
P Ir S
4 4 4
Direct
0.500 0.500 0.500
0.500 0.000 0.000
0.000 0.500 0.000
0.000 0.000 0.500
0.750 0.750 0.750
0.750 0.250 0.250
0.250 0.750 0.250
0.250 0.250 0.750
0.000 0.000 0.000
0.000 0.500 0.500
0.500 0.000 0.500
0.500 0.500 0.000

Calculated spin magnetization (μB per atom), listed in the same order as above: 0.000 0.000 0.000 0.000